Compound: BaRhIO2
Source: Alexandria
Functional: PBE
Structure: relaxed

Results
DFT total energy	-4.84	eV/atom
volume	20.69	Å³ per atom
energy above the lowest structure with this stoichiometry	0.000	eV/atom
uncorrected formation energy	-692	meV per atom

CIF file:
```
data_BaRhIO2
_cell_length_a 4.4883
_cell_length_b 4.4883
_cell_length_c 5.1343
_cell_angle_alpha 90.00
_cell_angle_beta 90.00
_cell_angle_gamma 90.00
_space_group_name_H-M_alt 'P 1'
_space_group_IT_number 1
loop_
_space_group_symop_operation_xyz
'x,y,z'
loop_
_atom_site_label
_atom_site_type_symbol
_atom_site_fract_x
_atom_site_fract_y
_atom_site_fract_z
I1 I 0.0000 0.0000 0.5000
Rh1 Rh 0.0000 0.0000 0.0000
Ba1 Ba 0.5000 0.5000 0.5000
O1 O 0.0000 0.5000 0.0000
O2 O 0.5000 0.0000 0.0000
```

Compound: Nd5Er2Tl4
Source: Alexandria
Functional: PBE
Structure: relaxed

Results
DFT total energy	-3.84	eV/atom
volume	31.91	Å³ per atom
formation energy from the elements	0.017	eV per atom

CIF file:
```
data_Nd5Er2Tl4
_cell_length_a 3.4992
_cell_length_b 5.8251
_cell_length_c 17.3327
_cell_angle_alpha 87.21
_cell_angle_beta 95.79
_cell_angle_gamma 90.00
_space_group_name_H-M_alt 'P 1'
_space_group_IT_number 1
loop_
_space_group_symop_operation_xyz
'x,y,z'
loop_
_atom_site_label
_atom_site_type_symbol
_atom_site_fract_x
_atom_site_fract_y
_atom_site_fract_z
Nd1 Nd 0.1990 0.9246 0.3980
Nd2 Nd 0.8010 0.0754 0.6020
Nd3 Nd 0.1357 0.4582 0.2714
Nd4 Nd 0.5000 0.0000 0.0000
Nd5 Nd 0.8643 0.5418 0.7286
Er1 Er 0.0890 0.9693 0.1781
Er2 Er 0.9110 0.0307 0.8219
Tl1 Tl 0.7162 0.4000 0.4325
Tl2 Tl 0.9559 0.5155 0.9118
Tl3 Tl 0.2838 0.6000 0.5675
Tl4 Tl 0.0441 0.4845 0.0882
```